(1)
Density functional theory data (PBE) for an optimized crystal structure of AuSe2NF.

Lattice parameters (Å, degrees): 5.407 5.407 3.749 90.00 90.00 90.00
Element x y z (fractional)
Au 0.000 0.000 0.000
Se 0.000 0.500 0.000
Se 0.500 0.000 0.000
N 0.000 0.000 0.500
F 0.500 0.500 0.500

Results
**Space-group type**: P4/mmm (123)
**Crystal system**: tetragonal


(2)
Density functional theory data (PBE) for an optimized crystal structure of SiAuN2F.

Lattice parameters (Å, degrees): 3.734 3.734 3.608 90.00 90.00 90.00
Element x y z (fractional)
Si 0.000 0.000 0.000
Au 0.500 0.500 0.500
N 0.000 0.500 0.000
N 0.500 0.000 0.000
F 0.000 0.000 0.500

Results
**Space-group type**: P4/mmm (123)
**Crystal system**: tetragonal


(3)
Density functional theory data (PBE) for an optimized crystal structure of SiAuN2F.

Lattice parameters (Å, degrees): 3.940 3.940 5.010 90.00 90.00 90.00
Element x y z (fractional)
Si 0.000 0.000 0.000
Au 0.500 0.500 0.500
N 0.000 0.500 0.500
N 0.500 0.000 0.500
F 0.500 0.500 0.000

Results
**Space-group type**: P4/mmm (123)
**Crystal system**: tetragonal


(4)
Density functional theory data (PBE) for an optimized crystal structure of SiAuNF2.

Lattice parameters (Å, degrees): 4.628 4.628 3.789 90.00 90.00 90.00
Element x y z (fractional)
Si 0.000 0.000 0.000
Au 0.500 0.500 0.500
N 0.500 0.500 0.000
F 0.000 0.500 0.500
F 0.500 0.000 0.500

Results
**Space-group type**: P4/mmm (123)
**Crystal system**: tetragonal


| no. | size of the total moment (Bohr magnetons per cell) | raw formation energy (eV per atom) |
| --- | --- | --- |
| 1 | 3.3 | 1.100 |
| 2 | 0.0 | 0.128 |
| 3 | 2.1 | 1.438 |
| 4 | 0.0 | 0.473 |